# 1
Below is a geometry-optimized Nd6Ga3Ir structure, with properties calculated at the GGA-PBE level.

abc: 8.923 11.865 5.210
angles: 90.00 90.00 90.00
Fractional positions:
Nd 0.005 0.247 0.000
Nd 0.157 0.086 0.500
Nd 0.181 0.423 0.500
Nd 0.319 0.923 0.000
Nd 0.343 0.586 0.000
Nd 0.495 0.747 0.500
Nd 0.505 0.253 0.500
Nd 0.657 0.414 0.000
Nd 0.681 0.077 0.000
Nd 0.819 0.577 0.500
Nd 0.843 0.914 0.500
Nd 0.995 0.753 0.000
Ga 0.000 0.500 0.000
Ga 0.159 0.731 0.500
Ga 0.341 0.231 0.000
Ga 0.500 0.000 0.500
Ga 0.659 0.769 0.000
Ga 0.841 0.269 0.500
Ir 0.000 0.000 0.000
Ir 0.500 0.500 0.500

E_form   -0.438 eV per atom
Space group   Pnnm
Raw total energy   -5.0924 eV/atom

=====

# 2
Below is a geometry-optimized Ag3Pb structure, with properties calculated at the GGA-PBE level.

abc: 4.356 4.356 8.699
angles: 90.00 90.00 90.00
Fractional positions:
Ag 0.000 0.000 0.000
Ag 0.000 0.500 0.250
Ag 0.000 0.500 0.750
Ag 0.500 0.000 0.250
Ag 0.500 0.000 0.750
Ag 0.500 0.500 0.500
Pb 0.000 0.000 0.500
Pb 0.500 0.500 0.000

E_form   0.096 eV per atom
Space group   I4/mmm
Raw total energy   -2.9699 eV/atom

=====

# 3
Below is a geometry-optimized RbAg6Te2 structure, with properties calculated at the GGA-PBE level.

abc: 4.633 4.633 10.626
angles: 90.00 90.00 90.00
Fractional positions:
Rb 0.000 0.000 0.000
Ag 0.000 0.000 0.500
Ag 0.000 0.500 0.338
Ag 0.000 0.500 0.662
Ag 0.500 0.000 0.338
Ag 0.500 0.000 0.662
Ag 0.500 0.500 0.500
Te 0.500 0.500 0.181
Te 0.500 0.500 0.819

Space group   P4/mmm
Formation energy without anion corrections   -216 meV/atom
Raw total energy   -2.9224 eV/atom

=====

# 4
Below is a geometry-optimized Na2BiP structure, with properties calculated at the GGA-PBE level.

abc: 8.893 8.893 5.631
angles: 90.00 90.00 90.00
Fractional positions:
Na 0.178 0.250 0.125
Na 0.250 0.678 0.375
Na 0.250 0.822 0.875
Na 0.322 0.250 0.625
Na 0.678 0.750 0.625
Na 0.750 0.178 0.875
Na 0.750 0.322 0.375
Na 0.822 0.750 0.125
Bi 0.000 0.000 0.500
Bi 0.000 0.500 0.750
Bi 0.500 0.000 0.250
Bi 0.500 0.500 0.000
P 0.000 0.000 0.000
P 0.000 0.500 0.250
P 0.500 0.000 0.750
P 0.500 0.500 0.500

E_form   0.012 eV per atom
Space group   I-42d
Energy relative to the lowest polymorph listed for this composition   0.00 eV/f.u.
Raw total energy   -2.9700 eV/atom